DFT (PBE) results for a relaxed structure of ZrCuPd.

Computed properties:
Volume = 16.97 Å³ per atom
Space group = P-1
Total magnetic moment = 0.00 μB per cell
Excess energy over the best structure of this formula in the dataset = 90 meV per atom

Unit cell a=4.740 b=4.767 c=5.363 alpha=77.41 beta=89.99 gamma=60.22
Positions (direct):
1 Zr 0.132 0.236 0.305
2 Zr 0.868 0.764 0.695
3 Cu 0.463 0.574 0.255
4 Cu 0.537 0.426 0.745
5 Pd 0.222 0.055 0.829
6 Pd 0.778 0.945 0.171